No. 1
{
  "formula": "Li3Co4SnO8",
  "functional": "PBE+U",
  "state": "relaxed",
  "dft_energy_ha_per_atom": -0.2120,
  "de_polymorph_ev_per_atom": 0.000,
  "lattice": [[-4.1278, 3.2815, -2.8879], [-5.7309, -0.1732, 1.8095], [-2.4639, 4.8525, 2.7280]],
  "species": ["O", "O", "O", "Li", "Co", "Co", "Co", "O", "O", "Li", "Co", "O", "Li", "O", "O", "Sn"],
  "fractional_positions": [[0.2528, 0.7406, 0.7595], [0.7507, 0.7507, 0.2673], [0.2553, 0.2553, 0.2607], [0.0000, 0.0000, 0.5000], [0.5000, 0.0000, 0.5000], [0.0000, 0.0000, 0.0000], [0.0000, 0.5000, 0.5000], [0.7447, 0.7447, 0.7393], [0.2594, 0.7472, 0.2405], [0.0000, 0.5000, 0.0000], [0.5000, 0.5000, 0.5000], [0.7472, 0.2594, 0.2405], [0.5000, 0.0000, 0.0000], [0.2493, 0.2493, 0.7327], [0.7406, 0.2528, 0.7595], [0.5000, 0.5000, 0.0000]]
}

***

No. 2
{
  "formula": "LiCo2SnO4",
  "functional": "PBE+U",
  "state": "relaxed",
  "dft_energy_ha_per_atom": -0.2108,
  "lattice": [[-4.1515, 1.0888, 0.0883], [-0.2898, -1.4321, 4.0365], [3.3568, 4.3761, -0.4891]],
  "species": ["Li", "Co", "O", "O", "Co", "O", "O", "Sn"],
  "fractional_positions": [[0.4372, 0.4372, 0.0000], [0.6872, 0.1872, 0.5000], [0.4371, 0.9371, 0.0000], [0.1700, 0.1700, 0.4656], [0.1872, 0.6872, 0.5000], [0.9371, 0.4371, 0.0000], [0.7044, 0.7044, 0.5344], [0.9372, 0.9372, 0.0000]]
}

***

No. 3
{
  "formula": "Li3Co4SnO8",
  "functional": "PBE+U",
  "state": "relaxed",
  "dft_energy_ha_per_atom": -0.2117,
  "de_polymorph_ev_per_atom": 0.007,
  "lattice": [[-5.5024, -2.3412, 0.5693], [-0.6015, -5.7633, 1.6115], [-2.2378, 0.2354, 10.1887]],
  "species": ["Sn", "Li", "O", "Co", "O", "O", "O", "O", "Co", "Li", "Sn", "Li", "Co", "Co", "O", "O", "Li", "O", "Co", "O", "O", "O", "Co", "O", "Li", "O", "Li", "Co", "O", "Co", "O", "O"],
  "fractional_positions": [[0.5036, 0.4992, 0.0007], [0.4911, 0.0013, 0.0064], [0.1097, 0.1216, 0.6292], [0.2500, 0.2500, 0.2500], [0.6313, 0.1211, 0.6234], [0.3795, 0.8618, 0.8790], [0.6226, 0.1364, 0.1186], [0.8687, 0.3789, 0.8766], [0.7500, 0.7500, 0.7500], [0.7500, 0.7500, 0.2500], [0.9965, 0.0008, 0.4993], [0.0079, 0.5035, 0.9910], [0.7500, 0.2500, 0.7500], [0.0020, 0.0013, 0.0027], [0.5918, 0.6277, 0.6385], [0.5992, 0.6305, 0.1332], [0.0089, 0.4987, 0.4936], [0.3903, 0.3784, 0.8708], [0.2500, 0.7500, 0.2500], [0.1292, 0.0961, 0.1389], [0.9082, 0.8724, 0.8615], [0.3614, 0.8700, 0.3698], [0.4980, 0.4987, 0.4973], [0.1205, 0.6382, 0.6210], [0.2500, 0.2500, 0.7500], [0.9008, 0.8695, 0.3668], [0.4921, 0.9965, 0.5090], [0.2500, 0.7500, 0.7500], [0.3708, 0.4039, 0.3611], [0.7500, 0.2500, 0.2500], [0.1386, 0.6300, 0.1302], [0.8774, 0.3635, 0.3814]]
}

***

No. 4
{
  "formula": "Li2Co3SnO8",
  "functional": "PBE+U",
  "state": "relaxed",
  "dft_energy_ha_per_atom": -0.2109,
  "de_polymorph_ev_per_atom": 0.090,
  "lattice": [[0.0692, 5.2639, -2.4395], [-4.8280, 2.0721, -2.4620], [-2.8564, 4.3647, 2.5407]],
  "species": ["O", "O", "O", "Li", "O", "O", "Sn", "Co", "O", "Co", "Li", "O", "Co", "O"],
  "fractional_positions": [[0.2890, 0.7535, 0.7535], [0.2619, 0.7001, 0.2619], [0.7001, 0.2619, 0.2619], [0.8788, 0.8788, 0.8788], [0.7535, 0.7535, 0.2890], [0.2619, 0.2619, 0.7001], [0.1118, 0.1118, 0.1118], [0.5026, 0.9858, 0.5026], [0.7535, 0.2890, 0.7535], [0.5026, 0.5026, 0.9858], [0.5053, 0.5053, 0.5053], [0.7352, 0.7352, 0.7352], [0.9858, 0.5026, 0.5026], [0.2579, 0.2579, 0.2579]]
}

***

No. 5
{
  "formula": "LiCoSnO4",
  "functional": "PBE+U",
  "state": "relaxed",
  "dft_energy_ha_per_atom": -0.2158,
  "de_polymorph_ev_per_atom": 0.007,
  "lattice": [[5.9855, 0.0014, -0.0011], [-0.3215, 5.9768, 0.0011], [-2.6346, -3.1761, 4.3355]],
  "species": ["Sn", "Li", "Sn", "O", "O", "Co", "O", "Co", "Li", "O", "O", "O", "O", "O"],
  "fractional_positions": [[0.0000, 0.0000, 0.0000], [0.5000, 0.5000, 0.0000], [0.5000, 0.0000, 0.5000], [0.7640, 0.2543, 0.9903], [0.7640, 0.7737, 0.5097], [0.0000, 0.0000, 0.5000], [0.1990, 0.2488, 0.9502], [0.0000, 0.5000, 0.0000], [0.0000, 0.5000, 0.5000], [0.2360, 0.2263, 0.4903], [0.8010, 0.7512, 0.0498], [0.2014, 0.7512, 0.4502], [0.2360, 0.7457, 0.0097], [0.7986, 0.2488, 0.5498]]
}

***

No. 6
{
  "formula": "Li3Co2SnO6",
  "functional": "PBE+U",
  "state": "relaxed",
  "dft_energy_ha_per_atom": -0.2085,
  "lattice": [[6.6982, -0.0039, 0.0154], [5.9964, 2.9848, 0.0154], [1.4125, 0.3317, 5.9072]],
  "species": ["O", "O", "Co", "Co", "O", "Li", "Li", "O", "Li", "Sn", "O", "O"],
  "fractional_positions": [[0.5027, 0.5027, 0.2599], [0.1689, 0.1689, 0.9244], [0.6756, 0.6756, 0.1505], [0.3244, 0.3244, 0.8495], [0.4973, 0.4973, 0.7401], [0.0000, 0.0000, 0.0000], [0.6749, 0.6749, 0.6681], [0.8374, 0.8374, 0.6001], [0.3251, 0.3251, 0.3319], [0.0000, 0.0000, 0.5000], [0.1626, 0.1626, 0.3999], [0.8311, 0.8311, 0.0756]]
}

***

No. 7
{
  "formula": "Li2Co3SnO8",
  "functional": "PBE+U",
  "state": "relaxed",
  "dft_energy_ha_per_atom": -0.2132,
  "de_polymorph_ev_per_atom": 0.028,
  "lattice": [[5.2332, -2.8969, -0.0020], [5.2332, 2.8969, -0.0020], [3.6314, 0.0000, 4.7530]],
  "species": ["O", "O", "Sn", "O", "Co", "Co", "O", "O", "Co", "Li", "O", "O", "O", "Li"],
  "fractional_positions": [[0.2518, 0.2518, 0.7132], [0.2518, 0.7132, 0.2518], [0.5000, 0.5000, 0.5000], [0.7482, 0.7482, 0.2868], [0.0000, 0.5000, 0.5000], [0.5000, 0.5000, 0.0000], [0.7482, 0.2868, 0.7482], [0.2712, 0.2712, 0.2712], [0.5000, 0.0000, 0.5000], [0.8857, 0.8857, 0.8857], [0.7132, 0.2518, 0.2518], [0.2868, 0.7482, 0.7482], [0.7288, 0.7288, 0.7288], [0.1143, 0.1143, 0.1143]]
}

***

No. 8
{
  "formula": "LiCoSnO4",
  "functional": "PBE+U",
  "state": "relaxed",
  "dft_energy_ha_per_atom": -0.2160,
  "de_polymorph_ev_per_atom": 0.000,
  "lattice": [[6.1627, -0.0085, 0.0152], [3.3247, 5.1938, 0.0045], [-3.0065, 1.7467, 5.0905]],
  "species": ["O", "O", "Li", "O", "Li", "Co", "Co", "O", "O", "O", "O", "Sn", "O", "Sn"],
  "fractional_positions": [[0.4519, 0.2718, 0.2003], [0.5128, 0.7502, 0.2367], [0.7456, 0.1332, 0.6203], [0.9816, 0.2668, 0.2521], [0.2544, 0.8668, 0.3797], [0.5000, 0.0000, 0.0000], [0.0000, 0.5000, 0.0000], [0.9716, 0.7285, 0.2234], [0.0184, 0.7332, 0.7479], [0.0284, 0.2715, 0.7766], [0.4872, 0.2498, 0.7633], [0.0000, 0.5000, 0.5000], [0.5481, 0.7282, 0.7997], [0.5000, 0.5000, 0.0000]]
}

***

No. 9
{
  "formula": "Li4Co3Sn5O16",
  "functional": "PBE+U",
  "state": "relaxed",
  "dft_energy_ha_per_atom": -0.2182,
  "lattice": [[-2.9615, 0.5342, -5.3503], [0.8416, -4.1463, -4.4475], [-7.4421, -5.3327, 3.7032]],
  "species": ["O", "O", "O", "Li", "Sn", "O", "O", "O", "O", "Co", "Sn", "O", "O", "Co", "Sn", "Li", "O", "O", "Co", "Li", "O", "Sn", "O", "Li", "O", "O", "Sn", "O"],
  "fractional_positions": [[0.1628, 0.1628, 0.0917], [0.1673, 0.6751, 0.0948], [0.9691, 0.5116, 0.3480], [0.9790, 0.9790, 0.9863], [0.1701, 0.1701, 0.7165], [0.9915, 0.9915, 0.8012], [0.0018, 0.0018, 0.3122], [0.5116, 0.9691, 0.3480], [0.8405, 0.8405, 0.6048], [0.1701, 0.6628, 0.7115], [0.3399, 0.8337, 0.2138], [0.5156, 0.5156, 0.3444], [0.6751, 0.1673, 0.0948], [0.6628, 0.1701, 0.7115], [0.8337, 0.3399, 0.2138], [0.3344, 0.3344, 0.4021], [0.0323, 0.4868, 0.8435], [0.3249, 0.8378, 0.5975], [0.8309, 0.8309, 0.2155], [0.9934, 0.9934, 0.4965], [0.8378, 0.3249, 0.5975], [0.3402, 0.3402, 0.9850], [0.4868, 0.0323, 0.8435], [0.6667, 0.6667, 0.8937], [0.4819, 0.4819, 0.8312], [0.6649, 0.6649, 0.1003], [0.6712, 0.6712, 0.4935], [0.3430, 0.3430, 0.6147]]
}

***

No. 10
{
  "formula": "Li4Ti3Co3Sn2O16",
  "functional": "PBE+U",
  "state": "relaxed",
  "dft_energy_ha_per_atom": -0.2501,
  "lattice": [[-1.7883, -2.6367, -5.0447], [-4.9385, -3.4656, -0.0535], [-5.5353, 7.7733, -2.2637]],
  "species": ["Co", "O", "O", "Li", "O", "O", "Sn", "Sn", "O", "Li", "O", "O", "O", "O", "Li", "O", "Ti", "O", "Ti", "O", "O", "Co", "Li", "O", "O", "Co", "Ti", "O"],
  "fractional_positions": [[0.8212, 0.8321, 0.7888], [0.0290, 0.4732, 0.1613], [0.4690, 0.4915, 0.1650], [0.6583, 0.6696, 0.1036], [0.9946, 0.0114, 0.1949], [0.1645, 0.6805, 0.9013], [0.3345, 0.3404, 0.0098], [0.6706, 0.6689, 0.5081], [0.6472, 0.6533, 0.8954], [0.0029, 0.9993, 0.5066], [0.6759, 0.1751, 0.9005], [0.8589, 0.8261, 0.4011], [0.4763, 0.0378, 0.1582], [0.9639, 0.4998, 0.6593], [0.3356, 0.3247, 0.6015], [0.5017, 0.9614, 0.6574], [0.8449, 0.3360, 0.7883], [0.3315, 0.8427, 0.3950], [0.3409, 0.8178, 0.7809], [0.8485, 0.3248, 0.4014], [0.3438, 0.3134, 0.3932], [0.1745, 0.6620, 0.2892], [0.9942, 0.9973, 0.0079], [0.5111, 0.5187, 0.6643], [0.1621, 0.1667, 0.8974], [0.6594, 0.1670, 0.2831], [0.1626, 0.1798, 0.2841], [0.0032, 0.0095, 0.6937]]
}

***

No. 11
{
  "formula": "Li4Ti2Co3Sn3O16",
  "functional": "PBE+U",
  "state": "relaxed",
  "dft_energy_ha_per_atom": -0.2385,
  "lattice": [[-0.2736, 1.2341, 5.9177], [5.0268, -2.5428, -2.4090], [3.7960, 8.8197, -1.3888]],
  "species": ["O", "O", "Sn", "O", "Sn", "Li", "O", "O", "O", "Li", "O", "Ti", "O", "O", "O", "O", "Co", "O", "Sn", "Co", "Co", "O", "O", "Li", "Li", "Ti", "O", "O"],
  "fractional_positions": [[0.4634, 0.5063, 0.3556], [0.3459, 0.6729, 0.0988], [0.3405, 0.1702, 0.7151], [0.3255, 0.1628, 0.0878], [0.1700, 0.8318, 0.2128], [0.9618, 0.9809, 0.9895], [0.5421, 0.4936, 0.8369], [0.0214, 0.5107, 0.3397], [0.8367, 0.6594, 0.0901], [0.9764, 0.9882, 0.5006], [0.5421, 0.0485, 0.8369], [0.7204, 0.3602, 0.9844], [0.1481, 0.8251, 0.6005], [0.9802, 0.4901, 0.8517], [0.6965, 0.3483, 0.6118], [0.8367, 0.1774, 0.0901], [0.8375, 0.6606, 0.7135], [0.4634, 0.9571, 0.3556], [0.1700, 0.3382, 0.2128], [0.8375, 0.1769, 0.7135], [0.6574, 0.8287, 0.2176], [0.1481, 0.3230, 0.6005], [0.9889, 0.9945, 0.3142], [0.6632, 0.3316, 0.4028], [0.3621, 0.6811, 0.8916], [0.3531, 0.6765, 0.4910], [0.9733, 0.9867, 0.8024], [0.6379, 0.8190, 0.5900]]
}

***

No. 12
{
  "formula": "Li4V2Co3Sn3O16",
  "functional": "PBE+U",
  "state": "relaxed",
  "dft_energy_ha_per_atom": -0.2296,
  "lattice": [[-6.0528, 0.5317, 1.0417], [-4.1382, -2.0549, -4.0813], [-0.1384, -8.7086, 4.3452]],
  "species": ["O", "Co", "Co", "O", "O", "V", "O", "O", "O", "Sn", "O", "O", "O", "Li", "V", "O", "O", "O", "Sn", "O", "O", "Co", "Li", "O", "Li", "O", "Sn", "Li"],
  "fractional_positions": [[0.1757, 0.6402, 0.9153], [0.1829, 0.6629, 0.2909], [0.8187, 0.8187, 0.7843], [0.4840, 0.0571, 0.1461], [0.8218, 0.8218, 0.4176], [0.6788, 0.6788, 0.5027], [0.1405, 0.1405, 0.9031], [0.9826, 0.9826, 0.6848], [0.3382, 0.3382, 0.3940], [0.8229, 0.3282, 0.7831], [0.0571, 0.4840, 0.1461], [0.8307, 0.3576, 0.4118], [0.4942, 0.4942, 0.1412], [0.9953, 0.9953, 0.4992], [0.3663, 0.3663, 0.0320], [0.5098, 0.9437, 0.6453], [0.9437, 0.5098, 0.6453], [0.5053, 0.5053, 0.6578], [0.1774, 0.1774, 0.2846], [0.3576, 0.8307, 0.4118], [0.6402, 0.1757, 0.9153], [0.6629, 0.1829, 0.2909], [0.3269, 0.3269, 0.5958], [0.0046, 0.0046, 0.2036], [0.6859, 0.6859, 0.0941], [0.6598, 0.6598, 0.8963], [0.3282, 0.8229, 0.7831], [0.9804, 0.9804, 0.0175]]
}

***

No. 13
{
  "formula": "Li4V3Co3Sn2O16",
  "functional": "PBE+U",
  "state": "relaxed",
  "dft_energy_ha_per_atom": -0.2367,
  "lattice": [[-2.7954, -5.1500, -1.1527], [0.9330, -2.7453, -5.2071], [7.3504, -5.0777, 3.9460]],
  "species": ["Co", "Sn", "O", "O", "Li", "O", "Li", "O", "O", "Co", "Co", "V", "O", "O", "O", "O", "Li", "V", "Sn", "Li", "O", "O", "O", "O", "O", "V", "O", "O"],
  "fractional_positions": [[0.1781, 0.1668, 0.2096], [0.3242, 0.3422, 0.4933], [0.5400, 0.4923, 0.8349], [0.3767, 0.3172, 0.1037], [0.9994, 0.9971, 0.4904], [0.1363, 0.1825, 0.6019], [0.3384, 0.3240, 0.8971], [0.3115, 0.8268, 0.0977], [0.0469, 0.4937, 0.3365], [0.1590, 0.6618, 0.2091], [0.3361, 0.8335, 0.7129], [0.6541, 0.1855, 0.2216], [0.6950, 0.6649, 0.6038], [0.9756, 0.0004, 0.8059], [0.9749, 0.0097, 0.3020], [0.5260, 0.9576, 0.8430], [0.6822, 0.6720, 0.3958], [0.8279, 0.8213, 0.7190], [0.6586, 0.6671, 0.9942], [0.9907, 0.9997, 0.9947], [0.1564, 0.6829, 0.5964], [0.6696, 0.1665, 0.6024], [0.5095, 0.4698, 0.3368], [0.8265, 0.3237, 0.1017], [0.8212, 0.8447, 0.1074], [0.8180, 0.3384, 0.7125], [0.9673, 0.5174, 0.8395], [0.4998, 0.0408, 0.3440]]
}

***

No. 14
{
  "formula": "Li4V3Co2Sn3O16",
  "functional": "PBE+U",
  "state": "relaxed",
  "dft_energy_ha_per_atom": -0.2369,
  "lattice": [[-4.3971, -0.0497, -4.2113], [5.8190, -1.0534, -1.6822], [-1.2808, -9.6537, 1.5286]],
  "species": ["Sn", "O", "Li", "O", "O", "Sn", "Li", "Co", "O", "O", "O", "O", "O", "O", "O", "V", "O", "V", "O", "O", "V", "Co", "O", "Li", "O", "Li", "Sn", "O"],
  "fractional_positions": [[0.8441, 0.1740, 0.2111], [0.5177, 0.4789, 0.3330], [0.3300, 0.6571, 0.3978], [0.3314, 0.2023, 0.5958], [0.6607, 0.3294, 0.0987], [0.6503, 0.8426, 0.7154], [0.6228, 0.3145, 0.8928], [0.6834, 0.3537, 0.4950], [0.7014, 0.8551, 0.0916], [0.0090, 0.0034, 0.8087], [0.8507, 0.1712, 0.6014], [0.5063, 0.0340, 0.3283], [0.1762, 0.8490, 0.1043], [0.4579, 0.5125, 0.8333], [0.1903, 0.3187, 0.1064], [0.3473, 0.1645, 0.2192], [0.9998, 0.5013, 0.8351], [0.1861, 0.3225, 0.6991], [0.4470, 0.9592, 0.8333], [0.3018, 0.6600, 0.6093], [0.1193, 0.7688, 0.7369], [0.3426, 0.6694, 0.9986], [0.9737, 0.4802, 0.3365], [0.0092, 0.9984, 0.5004], [0.0162, 0.0041, 0.3176], [0.0436, 0.0206, 0.9916], [0.8356, 0.6635, 0.2121], [0.8456, 0.6908, 0.6045]]
}

***

No. 15
{
  "formula": "SrLi2CoO4",
  "functional": "PBE+U",
  "state": "relaxed",
  "dft_energy_ha_per_atom": -0.2051,
  "lattice": [[-4.5920, -2.0113, -0.8831], [3.8034, -3.2643, 0.8887], [0.5657, 2.6168, 4.3294]],
  "species": ["O", "Co", "Li", "Li", "O", "O", "O", "Sr"],
  "fractional_positions": [[0.0000, 0.1510, 0.5424], [0.0000, 0.5000, 0.5000], [0.5000, 0.2500, 0.7500], [0.5000, 0.7500, 0.2500], [0.0000, 0.5424, 0.1510], [0.6086, 0.4576, 0.4576], [0.3914, 0.8490, 0.8490], [0.0000, 0.0000, 0.0000]]
}